# DyThZnFe

A geometry-optimized DyThZnFe structure (PBE-GGA, Alexandria via LeMat-Bulk).

Lattice parameters (Å, degrees): 7.050 7.050 7.050 90.00 90.00 90.00
Space group F-43m (No. 216)
One atom of each set of equivalent atoms:
Dy 0.000 0.000 0.000 x4
Th 0.000 0.000 0.500 x4
Zn 0.250 0.250 0.250 x4
Fe 0.250 0.250 0.750 x4

Fermi-level density of states: 1.270 states/eV per atom
formation energy: -35 meV per atom
spin magnetization: 0.192 μB per atom
VASP energy: -5.47 eV per atom
volume: 21.899 A^3/atom